No. 1
BaTa2Br after structural relaxation, computed with PBE.

a b c (Å): 3.1624 3.1624 32.3078
angles (deg): 90.00 90.00 120.00
Space group R-3m (No. 166, hexagonal axes)
Inequivalent atoms, fractional coordinates:
Ba 0.0000 0.0000 0.0000 [3 per cell]
Ta 0.0000 0.0000 0.2352 [6 per cell]
Br 0.0000 0.0000 0.5000 [3 per cell]

Properties
Formation energy from raw total energies: 971 meV per atom
Calculated total energy: -5.854 eV/atom



No. 2
TaTiCl2 after structural relaxation, computed with PBE.

a b c (Å): 6.792 6.792 5.996
angles (deg): 90.00 90.00 90.00
Space group I-42d (No. 122)
Inequivalent atoms, fractional coordinates:
Ta 0.000 0.000 0.000 [4 per cell]
Ti 0.000 0.000 0.500 [4 per cell]
Cl 0.248 0.250 0.625 [8 per cell]

Properties
Formation energy from raw total energies: 321 meV per atom
Calculated total energy: -5.539 eV/atom



No. 3
AcMg6Ag2 after structural relaxation, computed with PBE.

a b c (Å): 12.967 12.967 12.967
angles (deg): 90.00 90.00 90.00
Space group Fd-3m (No. 227, origin choice 2)
Inequivalent atoms, fractional coordinates:
Ac 0.125 0.125 0.125 [8 per cell]
Mg 0.102 0.375 0.875 [48 per cell]
Ag 0.000 0.000 0.500 [16 per cell]

Properties
ΔH_f (0 K): 0.223 eV/atom
Calculated total energy: -1.930 eV/atom



No. 4
Tb3ErAg2 after structural relaxation, computed with PBE.

a b c (Å): 3.626 3.626 12.269
angles (deg): 90.00 90.00 90.00
Space group P4/mmm (No. 123)
Inequivalent atoms, fractional coordinates:
Tb 0.000 0.000 0.000 [1 per cell]
Tb 0.000 0.000 0.300 [2 per cell]
Er 0.500 0.500 0.500 [1 per cell]
Ag 0.500 0.500 0.150 [2 per cell]

Properties
ΔH_f (0 K): -0.194 eV/atom
Calculated total energy: -4.220 eV/atom



No. 5
CsCd6Sb2 after structural relaxation, computed with PBE.

a b c (Å): 4.555 4.555 12.801
angles (deg): 90.00 90.00 90.00
Space group P4/mmm (No. 123)
Inequivalent atoms, fractional coordinates:
Cs 0.000 0.000 0.000 [1 per cell]
Cd 0.000 0.000 0.500 [1 per cell]
Cd 0.000 0.500 0.325 [4 per cell]
Cd 0.500 0.500 0.500 [1 per cell]
Sb 0.500 0.500 0.183 [2 per cell]

Properties
Formation energy from raw total energies: -115 meV per atom
Calculated total energy: -1.736 eV/atom



No. 6
RbSrCrS4 after structural relaxation, computed with PBE.

a b c (Å): 6.756 6.672 9.215
angles (deg): 90.00 107.36 90.00
Space group P2_1/m (No. 11)
Inequivalent atoms, fractional coordinates:
Rb 0.215 0.250 0.430 [2 per cell]
Sr 0.263 0.250 0.955 [2 per cell]
Cr 0.301 0.750 0.186 [2 per cell]
S 0.103 0.750 0.328 [2 per cell]
S 0.130 0.750 0.951 [2 per cell]
S 0.497 0.502 0.770 [4 per cell]

Properties
Formation energy from raw total energies: -1154 meV per atom
Calculated total energy: -5.266 eV/atom



No. 7
KBaSr2Rh after structural relaxation, computed with PBE.

a b c (Å): 5.894 5.894 6.571
angles (deg): 90.00 90.00 90.00
Space group P4/mmm (No. 123)
Inequivalent atoms, fractional coordinates:
K 0.000 0.000 0.000 [1 per cell]
Ba 0.500 0.500 0.000 [1 per cell]
Sr 0.000 0.500 0.500 [2 per cell]
Rh 0.000 0.000 0.500 [1 per cell]

Properties
ΔH_f (0 K): 0.091 eV/atom
Calculated total energy: -2.656 eV/atom



No. 8
Ce2ZrPt9 after structural relaxation, computed with PBE.

a b c (Å): 4.133 4.133 12.401
angles (deg): 90.00 90.00 90.00
Space group P4/mmm (No. 123)
Inequivalent atoms, fractional coordinates:
Ce 0.000 0.000 0.169 [2 per cell]
Zr 0.000 0.000 0.500 [1 per cell]
Pt 0.000 0.500 0.000 [2 per cell]
Pt 0.000 0.500 0.341 [4 per cell]
Pt 0.500 0.500 0.172 [2 per cell]
Pt 0.500 0.500 0.500 [1 per cell]

Properties
ΔH_f (0 K): -0.993 eV/atom
Calculated total energy: -7.225 eV/atom



calculated total energy of number 5 (CsCd6Sb2)?
-1.736 eV/atom



The lowest calculated total energy belongs to which entry?
Ce2ZrPt9



What is the calculated total energy in the fourth record?
-4.220 eV/atom



Copy entry 4 word for word.
Tb3ErAg2 after structural relaxation, computed with PBE.

a b c (Å): 3.626 3.626 12.269
angles (deg): 90.00 90.00 90.00
Space group P4/mmm (No. 123)
Inequivalent atoms, fractional coordinates:
Tb 0.000 0.000 0.000 [1 per cell]
Tb 0.000 0.000 0.300 [2 per cell]
Er 0.500 0.500 0.500 [1 per cell]
Ag 0.500 0.500 0.150 [2 per cell]

Properties
ΔH_f (0 K): -0.194 eV/atom
Calculated total energy: -4.220 eV/atom